Record 1
KGdSeO | PBE-GGA | relaxed

a b c (Å): 4.587 8.249 6.593
angles (deg): 90.00 90.00 90.00
Sites, in units of the cell vectors:
K1 0.000 0.701 0.615
Se1 0.000 0.303 0.626
K2 0.000 0.299 0.115
O1 0.500 0.907 0.714
Gd1 0.500 0.877 0.037
Se2 0.000 0.697 0.126
O2 0.500 0.093 0.214
Gd2 0.500 0.123 0.537

Calculated values
Relative energy among the computed polymorphs ... 112.7 meV/atom
Space group ... Pmc2_1 (26)


Record 2
KGdSeO | PBE-GGA | relaxed

a b c (Å): 4.140 4.140 10.142
angles (deg): 90.00 90.00 90.00
Sites, in units of the cell vectors:
O1 0.750 0.250 0.000
Gd1 0.250 0.250 0.101
Se1 0.750 0.750 0.272
Se2 0.250 0.250 0.728
K1 0.750 0.250 0.500
K2 0.250 0.750 0.500
Gd2 0.750 0.750 0.899
O2 0.250 0.750 0.000

Calculated values
Relative energy among the computed polymorphs ... 200.2 meV/atom
Space group ... P4/nmm (129)


Q: Number 2 is which compound?
A: KGdSeO